(1)
Compound: Sr3HfAs3
Source: Alexandria via LeMat-Bulk
Functional: PBE
Structure: relaxed

Values from the calculation:
Crystal system: orthorhombic
Total DFT energy (no corrections) (eV for the cell shown): -144.67
Density (g/cm3): 5.09
SG: No. 64

Cell lengths 10.2345, 10.2345, 12.8821 Å; angles 90.00, 90.00, 40.09 degrees
Closest atoms and distances in Å follow each position.
Fractional positions:
Sr 0.0089 0.3433 0.8646  5 As 3.16-3.49, 1 Hf 3.40
Sr 0.1567 0.4911 0.6354  5 As 3.16-3.49, 1 Hf 3.40
Sr 0.1608 0.8392 0.8408  5 As 3.11-3.45
Sr 0.3392 0.6608 0.3408  5 As 3.11-3.45
Sr 0.3433 0.0089 0.1354  5 As 3.16-3.49, 1 Hf 3.40
Sr 0.4911 0.1567 0.3646  5 As 3.16-3.49, 1 Hf 3.40
Sr 0.5089 0.8433 0.6354  5 As 3.16-3.49, 1 Hf 3.40
Sr 0.6567 0.9911 0.8646  5 As 3.16-3.49, 1 Hf 3.40
Sr 0.6608 0.3392 0.6592  5 As 3.11-3.45
Sr 0.8392 0.1608 0.1592  5 As 3.11-3.45
Sr 0.8433 0.5089 0.3646  5 As 3.16-3.49, 1 Hf 3.40
Sr 0.9911 0.6567 0.1354  5 As 3.16-3.49, 1 Hf 3.40
Hf 0.0855 0.0855 0.5000  4 As 2.59-2.65
Hf 0.4145 0.4145 0.0000  4 As 2.59-2.65
Hf 0.5855 0.5855 0.0000  4 As 2.59-2.65
Hf 0.9145 0.9145 0.5000  4 As 2.59-2.65
As 0.0506 0.6277 0.3792  1 Hf 2.59
As 0.1277 0.5506 0.8792  1 Hf 2.59
As 0.2305 0.7695 0.6019  2 Hf 2.65
As 0.2695 0.7305 0.1019  2 Hf 2.65
As 0.3723 0.9494 0.3792  1 Hf 2.59
As 0.4494 0.8723 0.8792  1 Hf 2.59
As 0.5506 0.1277 0.1208  1 Hf 2.59
As 0.6277 0.0506 0.6208  1 Hf 2.59
As 0.7305 0.2695 0.8981  2 Hf 2.65
As 0.7695 0.2305 0.3981  2 Hf 2.65
As 0.8723 0.4494 0.1208  1 Hf 2.59
As 0.9494 0.3723 0.6208  1 Hf 2.59

=====

(2)
Compound: Sr3HfAs
Source: Alexandria via LeMat-Bulk
Functional: PBE
Structure: relaxed

Values from the calculation:
Crystal system: cubic
Total DFT energy (no corrections) (eV for the cell shown): -14.87
Relative energy among the computed polymorphs (meV per atom): 730
Density (g/cm3): 4.06
SG: No. 221

Cell lengths 5.9531, 5.9531, 5.9531 Å; angles 90.00, 90.00, 90.00 degrees
Closest atoms and distances in Å follow each position.
Fractional positions:
Sr 0.0000 0.0000 0.5000  2 Hf 2.98
Sr 0.0000 0.5000 0.0000  2 Hf 2.98
Sr 0.5000 0.0000 0.0000  2 Hf 2.98
Hf 0.0000 0.0000 0.0000  6 Sr 2.98
As 0.5000 0.5000 0.5000  12 Sr 4.21

=====

(3)
Compound: SrHfAs3
Source: Alexandria via LeMat-Bulk
Functional: PBE
Structure: relaxed

Values from the calculation:
Crystal system: cubic
Total DFT energy (no corrections) (eV for the cell shown): -19.70
Relative energy among the computed polymorphs (meV per atom): 1739
Density (g/cm3): 5.44
SG: No. 221

Cell lengths 5.3119, 5.3119, 5.3119 Å; angles 90.00, 90.00, 90.00 degrees
Closest atoms and distances in Å follow each position.
Fractional positions:
Sr 0.0000 0.0000 0.0000  6 As 2.66
Hf 0.5000 0.5000 0.5000  12 As 3.76
As 0.0000 0.0000 0.5000  2 Sr 2.66
As 0.0000 0.5000 0.0000  2 Sr 2.66
As 0.5000 0.0000 0.0000  2 Sr 2.66

=====

(4)
Compound: SrHf2As2
Source: Alexandria via LeMat-Bulk
Functional: PBE
Structure: relaxed

Values from the calculation:
Crystal system: tetragonal
Total DFT energy (no corrections) (eV for the cell shown): -33.45
Relative energy among the computed polymorphs (meV per atom): 279
Density (g/cm3): 7.78
SG: No. 139

Cell lengths 6.0715, 6.0715, 6.0715 Å; angles 130.40, 130.40, 72.78 degrees
Closest atoms and distances in Å follow each position.
Fractional positions:
Sr 0.0000 0.0000 0.0000  2 Hf 3.36, 8 As 3.53
Hf 0.3438 0.3438 0.0000  4 As 2.71
Hf 0.6562 0.6562 0.0000  4 As 2.71
As 0.2500 0.7500 0.5000  4 Hf 2.71
As 0.7500 0.2500 0.5000  4 Hf 2.71

=====

(5)
Compound: Sr3HfAs
Source: Alexandria via LeMat-Bulk
Functional: PBE
Structure: relaxed

Values from the calculation:
Crystal system: cubic
Total DFT energy (no corrections) (eV for the cell shown): -18.52
Relative energy among the computed polymorphs (meV per atom): 0
Density (g/cm3): 4.06
SG: No. 221

Cell lengths 5.9528, 5.9528, 5.9528 Å; angles 90.00, 90.00, 90.00 degrees
Closest atoms and distances in Å follow each position.
Fractional positions:
Sr 0.0000 0.0000 0.5000  2 As 2.98
Sr 0.0000 0.5000 0.0000  2 As 2.98
Sr 0.5000 0.0000 0.0000  2 As 2.98
Hf 0.5000 0.5000 0.5000  12 Sr 4.21
As 0.0000 0.0000 0.0000  6 Sr 2.98

=====

(6)
Compound: SrHfAs3
Source: Alexandria via LeMat-Bulk
Functional: PBE
Structure: relaxed

Values from the calculation:
Crystal system: cubic
Total DFT energy (no corrections) (eV for the cell shown): -28.40
Relative energy among the computed polymorphs (meV per atom): 0
Density (g/cm3): 5.86
SG: No. 221

Cell lengths 5.1828, 5.1828, 5.1828 Å; angles 90.00, 90.00, 90.00 degrees
Closest atoms and distances in Å follow each position.
Fractional positions:
Sr 0.0000 0.0000 0.0000  12 As 3.66
Hf 0.5000 0.5000 0.5000  6 As 2.59
As 0.0000 0.5000 0.5000  2 Hf 2.59
As 0.5000 0.0000 0.5000  2 Hf 2.59
As 0.5000 0.5000 0.0000  2 Hf 2.59

=====

(7)
Compound: SrHf2As2
Source: Alexandria via LeMat-Bulk
Functional: PBE
Structure: relaxed

Values from the calculation:
Crystal system: tetragonal
Total DFT energy (no corrections) (eV for the cell shown): -67.54
Relative energy among the computed polymorphs (meV per atom): 215
Density (g/cm3): 9.06
SG: No. 127

Cell lengths 7.8029, 7.8029, 3.5799 Å; angles 90.00, 90.00, 90.00 degrees
Closest atoms and distances in Å follow each position.
Fractional positions:
Sr 0.0000 0.0000 0.0000  4 As 3.01
Sr 0.5000 0.5000 0.0000  4 As 3.01
Hf 0.1420 0.3580 0.5000  6 As 2.84-3.00, 1 Hf 3.13
Hf 0.3580 0.8580 0.5000  6 As 2.84-3.00, 1 Hf 3.13
Hf 0.6420 0.1420 0.5000  6 As 2.84-3.00, 1 Hf 3.13
Hf 0.8580 0.6420 0.5000  6 As 2.84-3.00, 1 Hf 3.13
As 0.1403 0.6403 0.0000  6 Hf 2.84-3.00, 2 Sr 3.01, 1 As 3.10
As 0.3597 0.1403 0.0000  6 Hf 2.84-3.00, 2 Sr 3.01, 1 As 3.10
As 0.6403 0.8597 0.0000  6 Hf 2.84-3.00, 2 Sr 3.01, 1 As 3.10
As 0.8597 0.3597 0.0000  6 Hf 2.84-3.00, 2 Sr 3.01, 1 As 3.10

=====

(8)
Compound: SrHf3As
Source: Alexandria via LeMat-Bulk
Functional: PBE
Structure: relaxed

Values from the calculation:
Crystal system: cubic
Total DFT energy (no corrections) (eV for the cell shown): -35.19
Relative energy among the computed polymorphs (meV per atom): 0
Density (g/cm3): 8.56
SG: No. 221

Cell lengths 5.1344, 5.1344, 5.1344 Å; angles 90.00, 90.00, 90.00 degrees
Closest atoms and distances in Å follow each position.
Fractional positions:
Sr 0.0000 0.0000 0.0000  12 Hf 3.63
Hf 0.0000 0.5000 0.5000  2 As 2.57
Hf 0.5000 0.0000 0.5000  2 As 2.57
Hf 0.5000 0.5000 0.0000  2 As 2.57
As 0.5000 0.5000 0.5000  6 Hf 2.57

=====

(9)
Compound: SrHf2As
Source: Alexandria via LeMat-Bulk
Functional: PBE
Structure: relaxed

Values from the calculation:
Crystal system: tetragonal
Total DFT energy (no corrections) (eV for the cell shown): -50.25
Density (g/cm3): 6.75
SG: No. 141

Cell lengths 10.3639, 10.3639, 10.3639 Å; angles 151.34, 151.34, 40.97 degrees
Closest atoms and distances in Å follow each position.
Fractional positions:
Sr 0.3750 0.6250 0.7500  4 As 3.63, 8 Hf 3.76
Sr 0.6250 0.3750 0.2500  4 As 3.63, 8 Hf 3.76
Hf 0.0000 0.0000 0.0000  2 Hf 2.56, 2 As 2.75
Hf 0.0000 0.0000 0.5000  2 Hf 2.56, 2 As 2.75
Hf 0.0000 0.5000 0.0000  2 Hf 2.56, 2 As 2.75
Hf 0.5000 0.0000 0.5000  2 Hf 2.56, 2 As 2.75
As 0.1250 0.8750 0.2500  4 Hf 2.75
As 0.8750 0.1250 0.7500  4 Hf 2.75

=====

(10)
Compound: SrHf3As4
Source: Alexandria via LeMat-Bulk
Functional: PBE
Structure: relaxed

Values from the calculation:
Crystal system: hexagonal
Total DFT energy (no corrections) (eV for the cell shown): -116.62
Density (g/cm3): 8.64
SG: No. 194

Cell lengths 3.9219, 3.9219, 26.6205 Å; angles 90.00, 90.00, 120.00 degrees
Closest atoms and distances in Å follow each position.
Fractional positions:
Sr 0.3333 0.6667 0.2500  6 As 3.08
Sr 0.6667 0.3333 0.7500  6 As 3.08
Hf 0.0000 0.0000 0.0000  6 As 2.73
Hf 0.0000 0.0000 0.5000  6 As 2.73
Hf 0.3333 0.6667 0.6146  6 As 2.73
Hf 0.3333 0.6667 0.8854  6 As 2.73
Hf 0.6667 0.3333 0.1146  6 As 2.73
Hf 0.6667 0.3333 0.3854  6 As 2.73
As 0.0000 0.0000 0.1716  3 Hf 2.73
As 0.0000 0.0000 0.3284  3 Hf 2.73
As 0.0000 0.0000 0.6716  3 Hf 2.73
As 0.0000 0.0000 0.8284  3 Hf 2.73
As 0.3333 0.6667 0.0572  6 Hf 2.73
As 0.3333 0.6667 0.4428  6 Hf 2.73
As 0.6667 0.3333 0.5572  6 Hf 2.73
As 0.6667 0.3333 0.9428  6 Hf 2.73

=====

(11)
Compound: Sr3HfU2As6
Source: Alexandria via LeMat-Bulk
Functional: PBE
Structure: relaxed

Values from the calculation:
Crystal system: monoclinic
Total DFT energy (no corrections) (eV for the cell shown): -77.49
Density (g/cm3): 7.08
SG: No. 12

Cell lengths 7.2133, 7.2133, 7.5121 Å; angles 99.23, 99.23, 120.00 degrees
Closest atoms and distances in Å follow each position.
Fractional positions:
Sr 0.0000 0.0000 0.0000  6 As 3.13-3.19
Sr 0.3320 0.6680 0.0000  6 As 3.13-3.18
Sr 0.6680 0.3320 0.0000  6 As 3.13-3.18
Hf 0.5000 0.5000 0.5000  6 As 2.79-2.80
U 0.1664 0.8336 0.5000  6 As 2.87
U 0.8336 0.1664 0.5000  6 As 2.87
As 0.1037 0.4288 0.2861  1 Hf 2.79, 2 U 2.87, 2 Sr 3.13
As 0.2467 0.2467 0.7147  1 Hf 2.80, 2 U 2.87
As 0.4288 0.1037 0.2861  1 Hf 2.79, 2 U 2.87, 2 Sr 3.13
As 0.5712 0.8963 0.7139  1 Hf 2.79, 2 U 2.87, 2 Sr 3.13
As 0.7533 0.7533 0.2853  1 Hf 2.80, 2 U 2.87
As 0.8963 0.5712 0.7139  1 Hf 2.79, 2 U 2.87, 2 Sr 3.13

=====

(12)
Compound: SrHfZnAs3
Source: Alexandria via LeMat-Bulk
Functional: PBE
Structure: relaxed

Values from the calculation:
Crystal system: monoclinic
Total DFT energy (no corrections) (eV for the cell shown): -62.78
Density (g/cm3): 6.40
SG: No. 11

Cell lengths 8.3125, 3.9914, 9.1623 Å; angles 90.00, 108.19, 90.00 degrees
Closest atoms and distances in Å follow each position.
Fractional positions:
Sr 0.2078 0.2500 0.2425  7 As 3.13-3.28
Sr 0.7922 0.7500 0.7575  7 As 3.13-3.28
Hf 0.3240 0.7500 0.8520  6 As 2.72-2.76
Hf 0.6760 0.2500 0.1480  6 As 2.72-2.76
Zn 0.0899 0.2500 0.5953  4 As 2.49-2.69, 2 Zn 2.76
Zn 0.9101 0.7500 0.4047  4 As 2.49-2.69, 2 Zn 2.76
As 0.1071 0.2500 0.8716  1 Zn 2.49, 2 Hf 2.73
As 0.2479 0.7500 0.5364  3 Zn 2.54-2.69, 1 Hf 2.76
As 0.4582 0.7500 0.1637  3 Hf 2.72-2.73
As 0.5417 0.2500 0.8363  3 Hf 2.72-2.73
As 0.7521 0.2500 0.4636  3 Zn 2.54-2.69, 1 Hf 2.76
As 0.8929 0.7500 0.1284  1 Zn 2.49, 2 Hf 2.73

=====

In order of appearance, formation energy = -1.031; 0.956; 1.177; -0.512; 0.226; -0.562; -0.577; 0.200; 0.278; -1.021; -1.002; -0.755 eV per atom.